1.
{
  "formula": "SiPbBr2",
  "functional": "PBE",
  "state": "relaxed",
  "lattice_angstrom": [[-1.8381, 2.2406, 7.5030], [1.8381, -2.2406, 7.5030], [1.8381, 2.2406, -7.5030]],
  "species": ["Si", "Pb", "Br", "Br"],
  "fractional_positions": [[0.0000, 0.0000, 0.0000], [0.8313, 0.3313, 0.5000], [0.2453, 0.7453, 0.5000], [0.5034, 0.5034, 0.0000]],
  "total_energy_ev_per_cell": -12.5,
  "sg": "Imm2",
  "raw_formation_energy_ev_per_atom": -0.008,
  "relative_energy_mev_per_atom": 190,
  "vol_a3_per_atom": 30.90,
  "dos_ef_per_ev_fu": 2.594,
  "magmom_total_mub_per_cell": 0.00
}

2.
{
  "formula": "SiPbBr2",
  "functional": "PBE",
  "state": "relaxed",
  "lattice_angstrom": [[0.0000, 3.7317, 3.7317], [3.7317, 0.0000, 3.7317], [3.7317, 3.7317, 0.0000]],
  "species": ["Si", "Pb", "Br", "Br"],
  "fractional_positions": [[0.0000, 0.0000, 0.0000], [0.7500, 0.7500, 0.7500], [0.2500, 0.2500, 0.2500], [0.5000, 0.5000, 0.5000]],
  "total_energy_ev_per_cell": -11.3,
  "sg": "F-43m",
  "raw_formation_energy_ev_per_atom": 0.304,
  "relative_energy_mev_per_atom": 502,
  "vol_a3_per_atom": 25.98,
  "dos_ef_per_ev_fu": 5.175,
  "magmom_total_mub_per_cell": 0.00
}